Density functional theory data (PBE-GGA) for an optimized crystal structure of Li2HfSc2Se6.

As for the crystal system: monoclinic. For the formation energy (no corrections), the calculation gives -1.52 eV per atom.

It has space group C2/m (No. 12), with a = 6.667 Å, b = 11.494 Å, c = 6.853 Å, α = 90.00°, β = 108.82° and γ = 90.00°. The inequivalent atoms are Li at (0.000, 0.166, 0.000), Hf at (0.000, 0.000, 0.500), Sc at (0.000, 0.333, 0.500), Se at (0.244, 0.165, 0.740) and Se at (0.249, 0.000, 0.260).

---

Density functional theory data (PBE-GGA) for an optimized crystal structure of LiHfScSi2.

As for the crystal system: tetragonal. The density of states at the Fermi level is 1.97 states/eV/cell. For the formation energy (no corrections), the calculation gives 0.36 eV per atom.

It has space group P4/mmm (No. 123), with a = 4.358 Å, b = 4.358 Å, c = 4.549 Å, α = 90.00°, β = 90.00° and γ = 90.00°. The inequivalent atoms are Li at (0.000, 0.000, 0.000), Hf at (0.000, 0.000, 0.500), Sc at (0.500, 0.500, 0.500) and Si at (0.000, 0.500, 0.000).

---

Density functional theory data (PBE-GGA) for an optimized crystal structure of LiHfScTc.

Its formation energy is -0.18 eV/atom. As for the crystal system: cubic. The density of states at the Fermi level is 10.32 states/eV/cell.

It has space group F-43m (No. 216), with a = 6.549 Å, b = 6.549 Å, c = 6.549 Å, α = 90.00°, β = 90.00° and γ = 90.00°. The inequivalent atoms are Li at (0.000, 0.000, 0.000), Hf at (0.250, 0.250, 0.750), Sc at (0.250, 0.250, 0.250) and Tc at (0.000, 0.000, 0.500).

---

Density functional theory data (PBE-GGA) for an optimized crystal structure of Li3Hf2ScTe6.

As for the crystal system: monoclinic. The density of states at the Fermi level is 10.22 states/eV/cell. For the formation energy (no corrections), the calculation gives -0.94 eV per atom.

It has space group C2/m (No. 12), with a = 7.029 Å, b = 12.174 Å, c = 7.487 Å, α = 90.00°, β = 108.25° and γ = 90.00°. The inequivalent atoms are Li at (0.000, 0.000, 0.000), Li at (0.000, 0.333, 0.000), Hf at (0.000, 0.166, 0.500), Sc at (0.000, 0.500, 0.500), Te at (0.246, 0.000, 0.747) and Te at (0.250, 0.168, 0.253).

---

Density functional theory data (PBE-GGA) for an optimized crystal structure of Li2HfSc2Te6.

As for the crystal system: monoclinic. The density of states at the Fermi level is 0.39 states/eV/cell. For the formation energy (no corrections), the calculation gives -1.07 eV per atom.

It has space group C2/m (No. 12), with a = 7.139 Å, b = 12.322 Å, c = 7.436 Å, α = 90.00°, β = 108.56° and γ = 90.00°. The inequivalent atoms are Li at (0.000, 0.166, 0.000), Hf at (0.000, 0.000, 0.500), Sc at (0.000, 0.332, 0.500), Te at (0.246, 0.164, 0.743) and Te at (0.250, 0.000, 0.258).

---

Density functional theory data (PBE-GGA) for an optimized crystal structure of Li3HfSc3Te8.

As for the crystal system: trigonal. The density of states at the Fermi level is 1.14 states/eV/cell. For the formation energy (no corrections), the calculation gives -1.10 eV per atom.

It has space group R-3m (No. 166, hexagonal axes), with a = 8.2584 Å, b = 8.2584 Å, c = 21.0791 Å, α = 90.00°, β = 90.00° and γ = 120.00°. The inequivalent atoms are Li at (0.0000, 0.5000, 0.0000), Hf at (0.0000, 0.0000, 0.5000), Sc at (0.0000, 0.5000, 0.5000), Te at (0.0000, 0.0000, 0.2482) and Te at (0.0018, 0.5009, 0.2475).

---

Density functional theory data (PBE-GGA) for an optimized crystal structure of Li2HfScTl.

Its formation energy is 1.03 eV/atom. As for the crystal system: tetragonal. The density of states at the Fermi level is 7.59 states/eV/cell.

It has space group P4/mmm (No. 123), with a = 5.189 Å, b = 5.189 Å, c = 5.078 Å, α = 90.00°, β = 90.00° and γ = 90.00°. The inequivalent atoms are Li at (0.000, 0.500, 0.000), Hf at (0.000, 0.000, 0.000), Sc at (0.000, 0.000, 0.500) and Tl at (0.500, 0.500, 0.500).

---

Density functional theory data (PBE-GGA) for an optimized crystal structure of LiHfScZn.

Its formation energy is 0.01 eV/atom. As for the crystal system: cubic. The density of states at the Fermi level is 19.17 states/eV/cell.

It has space group F-43m (No. 216), with a = 6.680 Å, b = 6.680 Å, c = 6.680 Å, α = 90.00°, β = 90.00° and γ = 90.00°. The inequivalent atoms are Li at (0.000, 0.000, 0.000), Hf at (0.250, 0.250, 0.250), Sc at (0.250, 0.250, 0.750) and Zn at (0.000, 0.000, 0.500).

---

Density functional theory data (PBE-GGA) for an optimized crystal structure of Li2HfSe4.

As for the crystal system: orthorhombic. For the formation energy (no corrections), the calculation gives -1.02 eV per atom.

It has space group Imma (No. 74), with a = 7.338 Å, b = 9.088 Å, c = 9.840 Å, α = 90.00°, β = 90.00° and γ = 90.00°. The inequivalent atoms are Li at (0.000, 0.000, 0.000), Li at (0.000, 0.250, 0.274), Hf at (0.250, 0.250, 0.750), Se at (0.000, 0.046, 0.706) and Se at (0.168, 0.250, 0.025).

---

Density functional theory data (PBE-GGA) for an optimized crystal structure of Li2HfSe.

As for the crystal system: tetragonal. The density of states at the Fermi level is 7.13 states/eV/cell. For the formation energy (no corrections), the calculation gives -0.22 eV per atom.

It has space group I-42d (No. 122), with a = 7.705 Å, b = 7.705 Å, c = 5.216 Å, α = 90.00°, β = 90.00° and γ = 90.00°. The inequivalent atoms are Li at (0.191, 0.750, 0.125), Hf at (0.000, 0.000, 0.500) and Se at (0.000, 0.000, 0.000).

---

Density functional theory data (PBE-GGA) for an optimized crystal structure of LiHf2Se.

As for the crystal system: tetragonal. The density of states at the Fermi level is 11.79 states/eV/cell. For the formation energy (no corrections), the calculation gives -0.04 eV per atom.

It has space group I-42d (No. 122), with a = 7.549 Å, b = 7.549 Å, c = 5.714 Å, α = 90.00°, β = 90.00° and γ = 90.00°. The inequivalent atoms are Li at (0.000, 0.000, 0.000), Hf at (0.221, 0.750, 0.625) and Se at (0.000, 0.000, 0.500).

---

Density functional theory data (PBE-GGA) for an optimized crystal structure of Li2HfSe3.

As for the crystal system: monoclinic. For the formation energy (no corrections), the calculation gives -1.30 eV per atom.

It has space group C2/c (No. 15), with a = 6.828 Å, b = 11.567 Å, c = 6.651 Å, α = 90.00°, β = 110.81° and γ = 90.00°. The inequivalent atoms are Li at (0.000, 0.087, 0.250), Li at (0.000, 0.257, 0.750), Hf at (0.000, 0.416, 0.250), Se at (0.239, 0.422, 0.008) and Se at (0.250, 0.250, 0.500).